Here is an optimized crystal structure of KCNO from the Alexandria database. Energies are from GGA-PBE.

Properties
Fermi-level density of states, states/eV/atom: 0.000
Raw formation energy, eV/atom: -0.98

Cell: 7.202 6.115 6.188 Å, 90.00 90.00 90.00°
Space group Ima2 (No. 46)
One atom of each set of equivalent atoms:
1 K 0.000 0.000 0.000
2 C 0.250 0.004 0.509
3 N 0.250 0.142 0.646
4 O 0.250 0.638 0.868